Entry 1:
# Tb6Mg2Ru

An optimized crystal structure of Tb6Mg2Ru (PBE, Alexandria via LeMat-Bulk).

Properties
**Space group**: No. 14
**N(E_F)**: 20.61 states/eV per cell
**DFT formation energy**: -0.03 eV per atom

extended XYZ file:
```
18
Lattice="6.361 0.000 0.000 0.000 7.938 0.000 -4.849 0.000 10.278" Properties=species:S:1:pos:R:3 pbc="T T T"
Tb -1.563 1.344 4.963
Tb -3.987 2.625 10.102
Tb -0.093 5.523 4.784
Tb -2.517 6.384 9.924
Tb 1.205 0.230 2.531
Tb -1.219 3.739 7.670
Tb 2.731 4.199 2.609
Tb 0.307 7.707 7.748
Tb 4.029 1.554 0.355
Tb 1.605 2.415 5.494
Tb 5.499 5.313 0.176
Tb 3.075 6.594 5.316
Mg -2.922 0.781 7.856
Mg -0.498 3.187 2.717
Mg 2.010 4.750 7.561
Mg 4.435 7.156 2.422
Ru 0.000 0.000 0.000
Ru -2.424 3.969 5.139
```

=====

Entry 2:
# Tb2MgRu

An optimized crystal structure of Tb2MgRu (PBE, Alexandria via LeMat-Bulk).

Properties
**Space group**: No. 166
**N(E_F)**: 8.14 states/eV per cell
**DFT formation energy**: -0.06 eV per atom

extended XYZ file:
```
12
Lattice="3.726 0.000 0.000 -1.863 3.227 0.000 0.000 0.000 26.677" Properties=species:S:1:pos:R:3 pbc="T T T"
Tb 0.000 0.000 6.164
Tb 0.000 0.000 20.512
Tb 0.000 2.151 11.620
Tb 0.000 2.151 23.949
Tb 1.863 1.076 2.728
Tb 1.863 1.076 15.057
Mg 0.000 0.000 0.000
Mg 0.000 2.151 17.785
Mg 1.863 1.076 8.892
Ru 0.000 0.000 13.338
Ru 0.000 2.151 4.446
Ru 1.863 1.076 22.231
```